VASP calculation (GGA-PBEsol) on a relaxed structure of SrTi2Sn.

**V**: 334.6 Å³ per cell
**Magnetization**: 0.0 μB per formula unit
**ΔH_f (0 K)**: 0.26 eV per atom
**VASP energy**: -5.43 eV/atom

abc: 6.942 6.942 6.942
angles: 90.00 90.00 90.00
Space group Fm-3m (No. 225)
One atom of each set of equivalent atoms:
1 Sr 0.000 0.000 0.000 x4
2 Ti 0.250 0.250 0.250 x8
3 Sn 0.000 0.000 0.500 x4